# RbBaPuF6, relaxed, DFT PBE-GGA
# E_tot = -6.61 eV per atom
# D(E_F) = 0.685 states/eV/atom
data_RbBaPuF6
_chemical_formula_sum 'Rb2 Ba2 Pu2 F12'
_space_group_name_H-M_alt 'P -3 1 c'
_space_group_IT_number 163
_space_group_name_Hall '-P 3 2c'
_cell_length_a 6.8770
_cell_length_b 6.8770
_cell_length_c 9.9719
_cell_angle_alpha 90.00
_cell_angle_beta 90.00
_cell_angle_gamma 120.00
loop_
_atom_site_label
_atom_site_fract_x
_atom_site_fract_y
_atom_site_fract_z
_atom_site_occupancy
Rb1 0.0000 0.0000 0.0000 1
Ba1 0.3333 0.6667 0.2500 1
Pu1 0.3333 0.6667 0.7500 1
F1 0.0348 0.3827 0.6367 1



# Ca2FeW, relaxed, DFT PBE-GGA
# relative energy among the computed polymorphs = 0.000 eV/atom
# ΔH_f (0 K) = 0.42 eV/atom
# D(E_F) = 1.129 states/eV/atom
data_Ca2FeW
_chemical_formula_sum 'Ca2 Fe1 W1'
_space_group_name_H-M_alt 'P 4 m m'
_space_group_IT_number 99
_space_group_name_Hall 'P 4 -2'
_cell_length_a 3.233
_cell_length_b 3.233
_cell_length_c 8.938
_cell_angle_alpha 90.00
_cell_angle_beta 90.00
_cell_angle_gamma 90.00
loop_
_atom_site_label
_atom_site_fract_x
_atom_site_fract_y
_atom_site_fract_z
_atom_site_occupancy
Ca1 0.000 0.000 0.000 1
Ca2 0.500 0.500 0.386 1
Fe1 0.000 0.000 0.635 1
W1 0.500 0.500 0.735 1



# ZrScO2F, relaxed, DFT PBE-GGA
# E_tot = -7.65 eV per atom
# D(E_F) = 0.679 states/eV/atom
data_ZrScO2F
_chemical_formula_sum 'Zr1 Sc1 O2 F1'
_space_group_name_H-M_alt 'P 4/m m m'
_space_group_IT_number 123
_space_group_name_Hall '-P 4 2'
_cell_length_a 4.134
_cell_length_b 4.134
_cell_length_c 3.931
_cell_angle_alpha 90.00
_cell_angle_beta 90.00
_cell_angle_gamma 90.00
loop_
_atom_site_label
_atom_site_fract_x
_atom_site_fract_y
_atom_site_fract_z
_atom_site_occupancy
Zr1 0.000 0.000 0.000 1
Sc1 0.500 0.500 0.500 1
O1 0.000 0.500 0.500 1
F1 0.500 0.500 0.000 1



What did the second record say?
# Ca2FeW, relaxed, DFT PBE-GGA
# relative energy among the computed polymorphs = 0.000 eV/atom
# ΔH_f (0 K) = 0.42 eV/atom
# D(E_F) = 1.129 states/eV/atom
data_Ca2FeW
_chemical_formula_sum 'Ca2 Fe1 W1'
_space_group_name_H-M_alt 'P 4 m m'
_space_group_IT_number 99
_space_group_name_Hall 'P 4 -2'
_cell_length_a 3.233
_cell_length_b 3.233
_cell_length_c 8.938
_cell_angle_alpha 90.00
_cell_angle_beta 90.00
_cell_angle_gamma 90.00
loop_
_atom_site_label
_atom_site_fract_x
_atom_site_fract_y
_atom_site_fract_z
_atom_site_occupancy
Ca1 0.000 0.000 0.000 1
Ca2 0.500 0.500 0.386 1
Fe1 0.000 0.000 0.635 1
W1 0.500 0.500 0.735 1